A plane-wave DFT calculation with PBE was carried out for RbAsCl3 after structural relaxation.

a = 6.152 Å, b = 6.152 Å, c = 6.152 Å
α = 90.00°, β = 90.00°, γ = 90.00°
Each line ends with the local moment (μB).
Element x y z (fractional)
As 0.500 0.500 0.500  1.03
Rb 0.000 0.000 0.000  -0.01
Cl 0.000 0.500 0.000  -0.21
Cl 0.000 0.000 0.500  -0.40
Cl 0.500 0.000 0.000  -0.27

Formation energy from raw total energies: 0.174 eV/atom
Calculated volume: 233 Å³/f.u.
Fermi-level density of states: 2.84 states/eV per atom

***

A plane-wave DFT calculation with PBE was carried out for Sc2TcAs after structural relaxation.

a = 8.037 Å, b = 8.037 Å, c = 8.037 Å
α = 23.99°, β = 23.99°, γ = 23.99°
Element x y z (fractional)
As 0.750 0.750 0.750
Sc 0.000 0.000 0.000
Sc 0.500 0.500 0.500
Tc 0.250 0.250 0.250

Formation energy from the elements: -8.993 kcal/mol of atoms
Calculated volume: 75 Å³/f.u.
Fermi-level density of states: 0.49 states/eV per atom

***

A plane-wave DFT calculation with PBE was carried out for PmInIrPd after structural relaxation.

a = 4.838 Å, b = 4.838 Å, c = 4.838 Å
α = 60.00°, β = 60.00°, γ = 60.00°
Element x y z (fractional)
Ir 0.000 0.000 0.000
In 0.750 0.750 0.750
Pd 0.500 0.500 0.500
Pm 0.250 0.250 0.250

Formation energy from the elements: -12.870 kcal/mol of atoms
Calculated volume: 80 Å³/f.u.
Fermi-level density of states: 0.66 states/eV per atom

***

A plane-wave DFT calculation with PBE was carried out for KAgCl3 after structural relaxation.

a = 5.335 Å, b = 5.335 Å, c = 11.902 Å
α = 77.05°, β = 77.05°, γ = 90.00°
Element x y z (fractional)
K 0.658 0.158 0.684
K 0.842 0.342 0.316
Ag 0.000 0.000 0.000
Ag 0.250 0.750 0.500
Cl 0.647 0.904 0.191
Cl 0.096 0.353 0.809
Cl 0.096 0.839 0.809
Cl 0.161 0.904 0.191
Cl 0.260 0.260 0.481
Cl 0.740 0.740 0.519

Formation energy from raw total energies: -0.890 eV/atom
Calculated volume: 161 Å³/f.u.
Fermi-level density of states: 0.17 states/eV per atom

***

A plane-wave DFT calculation with PBE was carried out for La5HoGa6 after structural relaxation.

a = 5.274 Å, b = 7.463 Å, c = 8.374 Å
α = 90.00°, β = 71.79°, γ = 90.00°
Element x y z (fractional)
Ho 0.000 0.000 0.000
Ga 0.840 0.759 0.321
Ga 0.840 0.241 0.321
Ga 0.500 0.243 0.000
Ga 0.500 0.757 0.000
Ga 0.160 0.759 0.679
Ga 0.160 0.241 0.679
La 0.672 0.500 0.655
La 0.334 0.000 0.332
La 0.000 0.500 0.000
La 0.666 0.000 0.668
La 0.328 0.500 0.345

Formation energy from the elements: -13.062 kcal/mol of atoms
Calculated volume: 313 Å³/f.u.
Fermi-level density of states: 0.62 states/eV per atom

***

A plane-wave DFT calculation with PBE was carried out for Ca2HfCd2 after structural relaxation.

a = 8.172 Å, b = 8.172 Å, c = 4.148 Å
α = 90.00°, β = 90.00°, γ = 90.00°
Each line ends with the local moment (μB).
Element x y z (fractional)
Ca 0.169 0.669 0.500  0.02
Ca 0.669 0.831 0.500  0.02
Ca 0.831 0.331 0.500  0.02
Ca 0.331 0.169 0.500  0.02
Hf 0.000 0.000 0.000  0.36
Hf 0.500 0.500 0.000  0.36
Cd 0.365 0.865 0.000  0.01
Cd 0.865 0.635 0.000  0.01
Cd 0.635 0.135 0.000  0.01
Cd 0.135 0.365 0.000  0.01

Formation energy from the elements: 2.247 kcal/mol of atoms
Calculated volume: 139 Å³/f.u.
Fermi-level density of states: 0.92 states/eV per atom

***

A plane-wave DFT calculation with PBE was carried out for KScPd3 after structural relaxation.

a = 4.917 Å, b = 4.917 Å, c = 4.917 Å
α = 90.00°, β = 90.00°, γ = 90.00°
Element x y z (fractional)
Sc 0.500 0.500 0.500
K 0.000 0.000 0.000
Pd 0.000 0.500 0.000
Pd 0.000 0.000 0.500
Pd 0.500 0.000 0.000

Formation energy from the elements: 23.547 kcal/mol of atoms
Calculated volume: 119 Å³/f.u.
Fermi-level density of states: 1.97 states/eV per atom

***

A plane-wave DFT calculation with PBE was carried out for La2YMn after structural relaxation.

a = 8.687 Å, b = 8.687 Å, c = 6.938 Å
α = 51.24°, β = 51.24°, γ = 90.00°
Each line ends with the local moment (μB).
Element x y z (fractional)
Y 0.000 0.000 0.000  -0.14
Y 0.750 0.250 0.500  -0.14
Mn 0.500 0.500 0.000  2.85
Mn 0.250 0.750 0.500  2.86
La 0.192 0.125 0.250  -0.12
La 0.558 0.625 0.250  -0.11
La 0.375 0.808 0.750  -0.12
La 0.875 0.442 0.750  -0.11

Formation energy from the elements: 8.847 kcal/mol of atoms
Calculated volume: 122 Å³/f.u.
Fermi-level density of states: 1.71 states/eV per atom

***

A plane-wave DFT calculation with PBE was carried out for K2TaSb2 after structural relaxation.

a = 3.946 Å, b = 3.946 Å, c = 8.734 Å
α = 76.94°, β = 76.94°, γ = 90.00°
Element x y z (fractional)
Sb 0.413 0.413 0.175
Sb 0.587 0.587 0.825
K 0.750 0.250 0.500
K 0.250 0.750 0.500
Ta 0.000 0.000 0.000

Formation energy from raw total energies: 0.580 eV/atom
Calculated volume: 129 Å³/f.u.
Fermi-level density of states: 0.36 states/eV per atom

***

A plane-wave DFT calculation with PBE was carried out for RbAgTe2N after structural relaxation.

a = 6.065 Å, b = 6.065 Å, c = 4.008 Å
α = 90.00°, β = 90.00°, γ = 90.00°
Each line ends with the local moment (μB).
Element x y z (fractional)
Te 0.000 0.500 0.000  -0.05
Te 0.500 0.000 0.000  -0.05
Rb 0.500 0.500 0.500  0.00
Ag 0.000 0.000 0.000  0.12
N 0.000 0.000 0.500  0.98

Formation energy from raw total energies: 0.632 eV/atom
Calculated volume: 147 Å³/f.u.
Fermi-level density of states: 0.77 states/eV per atom

***

A plane-wave DFT calculation with PBE was carried out for Sr2CaVTe after structural relaxation.

a = 6.341 Å, b = 5.131 Å, c = 6.341 Å
α = 90.00°, β = 90.00°, γ = 90.00°
Each line ends with the local moment (μB).
Element x y z (fractional)
Sr 0.000 0.000 0.500  0.03
Sr 0.500 0.000 0.000  0.04
Ca 0.500 0.500 0.500  -0.05
Te 0.000 0.500 0.000  -0.09
V 0.000 0.000 0.000  2.51

Formation energy from raw total energies: 0.184 eV/atom
Calculated volume: 206 Å³/f.u.
Fermi-level density of states: 1.01 states/eV per atom

***

A plane-wave DFT calculation with PBE was carried out for IrSe4Cl after structural relaxation.

a = 5.567 Å, b = 5.567 Å, c = 5.567 Å
α = 60.00°, β = 60.00°, γ = 60.00°
Each line ends with the local moment (μB).
Element x y z (fractional)
Ir 0.000 0.000 0.000  0.97
Se 0.876 0.375 0.375  0.01
Se 0.375 0.375 0.876  0.01
Se 0.375 0.876 0.375  0.01
Se 0.375 0.375 0.375  0.01
Cl 0.750 0.750 0.750  0.03

Formation energy from raw total energies: 1.062 eV/atom
Calculated volume: 122 Å³/f.u.
Fermi-level density of states: 1.18 states/eV per atom

***

A plane-wave DFT calculation with PBE was carried out for Ca2Pd5Au4 after structural relaxation.

a = 5.516 Å, b = 5.366 Å, c = 9.364 Å
α = 81.29°, β = 72.87°, γ = 59.07°
Element x y z (fractional)
Ca 0.877 0.000 0.246
Ca 0.123 0.000 0.754
Pd 0.500 0.000 0.000
Pd 0.000 0.500 0.000
Pd 0.500 0.500 0.000
Pd 0.250 0.500 0.500
Pd 0.750 0.500 0.500
Au 0.465 0.326 0.743
Au 0.535 0.674 0.257
Au 0.209 0.326 0.257
Au 0.791 0.674 0.743

Formation energy from the elements: -9.089 kcal/mol of atoms
Calculated volume: 227 Å³/f.u.
Fermi-level density of states: 0.58 states/eV per atom

***

A plane-wave DFT calculation with PBE was carried out for YHf2Pt2 after structural relaxation.

a = 4.896 Å, b = 4.896 Å, c = 6.070 Å
α = 66.22°, β = 66.22°, γ = 90.00°
Element x y z (fractional)
Y 0.000 0.000 0.000
Hf 0.349 0.349 0.302
Hf 0.651 0.651 0.698
Pt 0.750 0.250 0.500
Pt 0.250 0.750 0.500

Formation energy from the elements: -12.577 kcal/mol of atoms
Calculated volume: 120 Å³/f.u.
Fermi-level density of states: 1.17 states/eV per atom

***

A plane-wave DFT calculation with PBE was carried out for Tm4InHg7 after structural relaxation.

a = 5.349 Å, b = 9.638 Å, c = 6.909 Å
α = 79.55°, β = 67.22°, γ = 73.89°
Element x y z (fractional)
Tm 0.582 0.225 0.611
Tm 0.418 0.775 0.389
Tm 0.736 0.680 0.848
Tm 0.264 0.320 0.152
In 0.000 0.000 0.000
Hg 0.799 0.915 0.486
Hg 0.201 0.085 0.514
Hg 0.070 0.651 0.208
Hg 0.930 0.349 0.792
Hg 0.360 0.537 0.742
Hg 0.500 0.000 0.000
Hg 0.640 0.463 0.258

Formation energy from the elements: -5.562 kcal/mol of atoms
Calculated volume: 314 Å³/f.u.
Fermi-level density of states: 0.44 states/eV per atom

***

A plane-wave DFT calculation with PBE was carried out for Cr2AgOs after structural relaxation.

a = 2.899 Å, b = 2.899 Å, c = 6.941 Å
α = 90.00°, β = 90.00°, γ = 90.00°
Each line ends with the local moment (μB).
Element x y z (fractional)
Ag 0.500 0.500 0.757  0.05
Cr 0.000 0.000 0.037  2.71
Cr 0.500 0.500 0.250  -1.00
Os 0.000 0.000 0.456  0.30

Formation energy from the elements: 9.599 kcal/mol of atoms
Calculated volume: 58 Å³/f.u.
Fermi-level density of states: 0.89 states/eV per atom

***

A plane-wave DFT calculation with PBE was carried out for NbN3F after structural relaxation.

a = 4.059 Å, b = 4.059 Å, c = 4.059 Å
α = 90.00°, β = 90.00°, γ = 90.00°
Each line ends with the local moment (μB).
Element x y z (fractional)
Nb 0.000 0.000 0.000  -0.23
N 0.000 0.500 0.000  0.48
N 0.000 0.000 0.500  0.83
N 0.500 0.000 0.000  0.31
F 0.500 0.500 0.500  -0.11

Formation energy from raw total energies: 1.033 eV/atom
Calculated volume: 67 Å³/f.u.
Fermi-level density of states: 1.13 states/eV per atom

***

A plane-wave DFT calculation with PBE was carried out for Ta2GaS after structural relaxation.

a = 3.962 Å, b = 3.962 Å, c = 9.604 Å
α = 78.09°, β = 78.09°, γ = 90.00°
Element x y z (fractional)
S 0.500 0.500 0.000
S 0.250 0.750 0.500
Ga 0.000 0.000 0.000
Ga 0.750 0.250 0.500
Ta 0.625 0.125 0.250
Ta 0.125 0.625 0.250
Ta 0.375 0.375 0.750
Ta 0.875 0.875 0.750

Formation energy from raw total energies: 0.198 eV/atom
Calculated volume: 72 Å³/f.u.
Fermi-level density of states: 0.93 states/eV per atom

***

A plane-wave DFT calculation with PBE was carried out for TcMo after structural relaxation.

a = 2.763 Å, b = 9.419 Å, c = 2.763 Å
α = 98.44°, β = 60.00°, γ = 98.44°
Element x y z (fractional)
Mo 0.002 0.007 0.002
Mo 0.248 0.743 0.248
Tc 0.497 0.492 0.497
Tc 0.753 0.258 0.753

Formation energy from the elements: 4.779 kcal/mol of atoms
Calculated volume: 31 Å³/f.u.
Fermi-level density of states: 1.01 states/eV per atom

***

A plane-wave DFT calculation with PBE was carried out for Na3ZrTa after structural relaxation.

a = 5.435 Å, b = 5.435 Å, c = 5.435 Å
α = 90.00°, β = 90.00°, γ = 90.00°
Each line ends with the local moment (μB).
Element x y z (fractional)
Na 0.000 0.500 0.000  0.04
Na 0.000 0.000 0.500  0.03
Na 0.500 0.000 0.000  0.05
Zr 0.000 0.000 0.000  1.77
Ta 0.500 0.500 0.500  -1.96

Formation energy from the elements: 51.656 kcal/mol of atoms
Calculated volume: 161 Å³/f.u.
Fermi-level density of states: 0.10 states/eV per atom